CdInTe2 | PBE | relaxed

Unit cell a=6.1005 b=3.1479 c=6.2303 alpha=77.09 beta=90.00 gamma=90.00
Atoms (fractional coordinates):
Te 0.0000 0.5238 0.5006
In 0.5000 0.7500 0.7500
Te 0.0000 0.9762 0.9994
Cd 0.5000 0.2500 0.2500

- formation energy without anion corrections (kJ per mole of atoms) = 4.09
- space-group type = P2/m
- theoretical density (Mg/m³) = 6.87
- total DFT energy (no corrections) (eV for the cell shown) = -9.77